(w)
DFT (GGA-PBE) results for crystalline CdNiRh at its relaxed geometry.

abc: 5.8924 5.8925 2.8557
angles: 75.98 75.98 28.05
Sites, in units of the cell vectors:
Rh (0.6826, 0.6827, 0.3174)
Cd (0.9956, 0.9956, 0.0044)
Ni (0.3218, 0.3217, 0.6782)

Calculated values
For the size of the total moment, the calculation gives 0.87 μB per formula unit.

***

(x)
DFT (GGA-PBE) results for crystalline CdNiRh at its relaxed geometry.

abc: 4.3117 4.3117 2.8488
angles: 90.00 90.00 120.00
Sites, in units of the cell vectors:
Rh (0.3333, 0.6667, 0.4994)
Cd (0.0000, 0.0000, 0.9996)
Ni (0.6667, 0.3333, 0.5009)

Calculated values
For the size of the total moment, the calculation gives 0.00 μB per formula unit.

***

(y)
DFT (GGA-PBE) results for crystalline CdNiRh at its relaxed geometry.

abc: 2.8174 2.8174 6.5796
angles: 90.00 90.00 120.00
Sites, in units of the cell vectors:
Ni (0.6667, 0.3333, 0.3468)
Cd (0.0000, 0.0000, 0.0076)
Rh (0.3333, 0.6667, 0.6457)

Calculated values
For the size of the total moment, the calculation gives 0.72 μB per formula unit.

***

Name the most stable of them. (w).

***

(w)
DFT (GGA-PBE) results for crystalline Cd3NiRh at its relaxed geometry.

abc: 4.7772 4.7772 4.7772
angles: 90.00 90.00 90.00
Sites, in units of the cell vectors:
Ni (0.0000, 0.0000, 0.0000)
Rh (0.5000, 0.5000, 0.5000)
Cd (0.0000, 0.5000, 0.0000)
Cd (0.0000, 0.0000, 0.5000)
Cd (0.5000, 0.0000, 0.0000)

Calculated values
For the size of the total moment, the calculation gives 0.00 μB per formula unit.

***

(x)
DFT (GGA-PBE) results for crystalline Cd3NiRh at its relaxed geometry.

abc: 5.0794 5.0794 5.0794
angles: 90.00 90.00 90.00
Sites, in units of the cell vectors:
Cd (0.5000, 0.0000, 0.0000)
Cd (0.0000, 0.0000, 0.5000)
Cd (0.0000, 0.5000, 0.0000)
Rh (0.0000, 0.0000, 0.0000)
Ni (0.5000, 0.5000, 0.5000)

Calculated values
For the size of the total moment, the calculation gives 0.00 μB per formula unit.

***

Name the most stable of them. (w).

***

(w)
DFT (GGA-PBE) results for crystalline VCdNiRh at its relaxed geometry.

abc: 4.3632 4.3632 4.3632
angles: 60.00 60.00 60.00
Sites, in units of the cell vectors:
Rh (0.5000, 0.5000, 0.5000)
V (0.2500, 0.2500, 0.2500)
Ni (0.0000, 0.0000, 0.0000)
Cd (0.7500, 0.7500, 0.7500)

Calculated values
For the size of the total moment, the calculation gives 1.76 μB per formula unit.

***

(x)
DFT (GGA-PBE) results for crystalline VCdNiRh at its relaxed geometry.

abc: 2.9011 2.9011 6.9927
angles: 90.00 90.00 90.00
Sites, in units of the cell vectors:
Rh (0.5000, 0.5000, 0.7822)
Cd (0.0000, 0.0000, 0.0832)
V (0.0000, 0.0000, 0.5637)
Ni (0.5000, 0.5000, 0.3557)

Calculated values
For the size of the total moment, the calculation gives 0.82 μB per formula unit.

***

Name the most stable of them. (x).